The following is a PBE calculation of PuAg6 after structural relaxation, from Alexandria via LeMat-Bulk.

Offset from the most stable computed form, meV per atom: 0
Energy of formation from the pure elements, eV per atom: 0.045

Cell and atoms, written as POSCAR:
```
PuAg6
1.0
9.057 0.000 0.000
0.000 5.624 0.000
0.000 0.000 11.324
Pu Ag
4 24
Cartesian
2.199 1.406 0.756 Pu
2.330 4.218 6.418 Pu
6.727 1.406 4.906 Pu
6.858 4.218 10.568 Pu
0.557 0.042 3.480 Ag
0.557 2.770 3.480 Ag
0.558 4.218 0.973 Ag
0.954 1.406 5.878 Ag
1.336 4.218 9.641 Ag
1.693 1.406 8.620 Ag
2.835 4.218 2.958 Ag
3.193 1.406 3.979 Ag
3.574 4.218 0.216 Ag
3.970 1.406 6.635 Ag
3.971 2.854 9.142 Ag
3.971 5.582 9.142 Ag
5.086 0.042 2.182 Ag
5.086 2.770 2.182 Ag
5.087 4.218 4.689 Ag
5.482 1.406 11.108 Ag
5.864 4.218 7.346 Ag
6.221 1.406 8.366 Ag
7.364 4.218 2.704 Ag
7.721 1.406 1.684 Ag
8.103 4.218 5.446 Ag
8.498 1.406 10.351 Ag
8.499 2.854 7.844 Ag
8.499 5.582 7.844 Ag
```